# ZrCo PBE optimized geometry
# Formation enthalpy at 0 K   0.08 eV/atom
# Spin magnetization   4.3 μB per cell
# DOS(E_F)   17.4 states/eV per cell
# Uncorrected energy   -7.743 eV per atom
data_ZrCo
_chemical_formula_sum 'Zr8 Co8'
_space_group_name_H-M_alt 'I 4/m'
_space_group_IT_number 87
_space_group_name_Hall '-I 4'
_cell_length_a 9.546
_cell_length_b 9.546
_cell_length_c 2.939
_cell_angle_alpha 90.00
_cell_angle_beta 90.00
_cell_angle_gamma 90.00
loop_
_atom_site_label
_atom_site_type_symbol
_atom_site_fract_x
_atom_site_fract_y
_atom_site_fract_z
Zr1 Zr 0.125 0.183 0.000
Co1 Co 0.055 0.644 0.500

# Zr3Co PBE optimized geometry
# Formation enthalpy at 0 K   -0.14 eV/atom
# Spin magnetization   0.0 μB per cell
# DOS(E_F)   4.7 states/eV per cell
# Uncorrected energy   -8.324 eV per atom
data_Zr3Co
_chemical_formula_sum 'Zr3 Co1'
_space_group_name_H-M_alt 'P 4/m m m'
_space_group_IT_number 123
_space_group_name_Hall '-P 4 2'
_cell_length_a 3.245
_cell_length_b 3.245
_cell_length_c 7.413
_cell_angle_alpha 90.00
_cell_angle_beta 90.00
_cell_angle_gamma 90.00
loop_
_atom_site_label
_atom_site_type_symbol
_atom_site_fract_x
_atom_site_fract_y
_atom_site_fract_z
Zr1 Zr 0.000 0.000 0.000
Zr2 Zr 0.500 0.500 0.291
Co1 Co 0.000 0.000 0.500

# Zr3Co5 PBE optimized geometry
# Formation enthalpy at 0 K   -0.14 eV/atom
# Spin magnetization   4.4 μB per cell
# DOS(E_F)   18.5 states/eV per cell
# Uncorrected energy   -7.785 eV per atom
data_Zr3Co5
_chemical_formula_sum 'Zr6 Co10'
_space_group_name_H-M_alt 'P 1'
_space_group_IT_number 1
_space_group_name_Hall 'P 1'
_cell_length_a 5.074
_cell_length_b 6.545
_cell_length_c 7.276
_cell_angle_alpha 92.62
_cell_angle_beta 94.07
_cell_angle_gamma 97.39
loop_
_atom_site_label
_atom_site_type_symbol
_atom_site_fract_x
_atom_site_fract_y
_atom_site_fract_z
Zr1 Zr 0.000 0.000 0.000
Zr2 Zr 0.033 0.527 0.085
Zr3 Zr 0.227 0.001 0.567
Zr4 Zr 0.467 0.721 0.862
Zr5 Zr 0.511 0.260 0.937
Zr6 Zr 0.763 0.212 0.368
Co1 Co 0.063 0.351 0.740
Co2 Co 0.167 0.566 0.470
Co3 Co 0.251 0.229 0.281
Co4 Co 0.429 0.889 0.202
Co5 Co 0.537 0.412 0.605
Co6 Co 0.544 0.539 0.227
Co7 Co 0.607 0.758 0.499
Co8 Co 0.741 0.052 0.691
Co9 Co 0.921 0.831 0.288
Co10 Co 0.937 0.691 0.736

# Zr5Co4 PBE optimized geometry
# Formation enthalpy at 0 K   -0.26 eV/atom
# Spin magnetization   0.0 μB per cell
# Energy above the lowest structure with this stoichiometry   0.000 eV per atom
# DOS(E_F)   21.5 states/eV per cell
# Uncorrected energy   -8.165 eV per atom
data_Zr5Co4
_chemical_formula_sum 'Zr10 Co8'
_space_group_name_H-M_alt 'C 1 2/m 1'
_space_group_IT_number 12
_space_group_name_Hall '-C 2y'
_cell_length_a 9.583
_cell_length_b 4.005
_cell_length_c 8.679
_cell_angle_alpha 90.00
_cell_angle_beta 110.49
_cell_angle_gamma 90.00
loop_
_atom_site_label
_atom_site_type_symbol
_atom_site_fract_x
_atom_site_fract_y
_atom_site_fract_z
Zr1 Zr 0.000 0.000 0.000
Zr2 Zr 0.113 0.000 0.398
Zr3 Zr 0.240 0.000 0.820
Co1 Co 0.042 0.500 0.848
Co2 Co 0.115 0.500 0.615

# Zr3Co PBE optimized geometry
# Formation enthalpy at 0 K   -0.09 eV/atom
# Spin magnetization   0.0 μB per cell
# DOS(E_F)   16.2 states/eV per cell
# Uncorrected energy   -8.282 eV per atom
data_Zr3Co
_chemical_formula_sum 'Zr12 Co4'
_space_group_name_H-M_alt 'C m c m'
_space_group_IT_number 63
_space_group_name_Hall '-C 2c 2'
_cell_length_a 7.890
_cell_length_b 10.309
_cell_length_c 3.895
_cell_angle_alpha 90.00
_cell_angle_beta 90.00
_cell_angle_gamma 90.00
loop_
_atom_site_label
_atom_site_type_symbol
_atom_site_fract_x
_atom_site_fract_y
_atom_site_fract_z
Zr1 Zr 0.000 0.110 0.250
Zr2 Zr 0.197 0.379 0.250
Co1 Co 0.000 0.316 0.750

# ZrCo PBE optimized geometry
# Formation enthalpy at 0 K   -0.03 eV/atom
# Spin magnetization   0.0 μB per cell
# DOS(E_F)   1.6 states/eV per cell
# Uncorrected energy   -7.861 eV per atom
data_ZrCo
_chemical_formula_sum 'Zr2 Co2'
_space_group_name_H-M_alt 'P 63/m m c'
_space_group_IT_number 194
_space_group_name_Hall '-P 6c 2c'
_cell_length_a 3.3400
_cell_length_b 3.3400
_cell_length_c 7.0887
_cell_angle_alpha 90.00
_cell_angle_beta 90.00
_cell_angle_gamma 120.00
loop_
_atom_site_label
_atom_site_type_symbol
_atom_site_fract_x
_atom_site_fract_y
_atom_site_fract_z
Zr1 Zr 0.0000 0.0000 0.0000
Co1 Co 0.3333 0.6667 0.2500

# Zr3Co PBE optimized geometry
# Formation enthalpy at 0 K   -0.14 eV/atom
# Spin magnetization   0.0 μB per cell
# DOS(E_F)   7.3 states/eV per cell
# Uncorrected energy   -8.332 eV per atom
data_Zr3Co
_chemical_formula_sum 'Zr6 Co2'
_space_group_name_H-M_alt 'I m m 2'
_space_group_IT_number 44
_space_group_name_Hall 'I 2 -2'
_cell_length_a 3.220
_cell_length_b 9.502
_cell_length_c 5.248
_cell_angle_alpha 90.00
_cell_angle_beta 90.00
_cell_angle_gamma 90.00
loop_
_atom_site_label
_atom_site_type_symbol
_atom_site_fract_x
_atom_site_fract_y
_atom_site_fract_z
Zr1 Zr 0.000 0.000 0.000
Zr2 Zr 0.000 0.199 0.458
Co1 Co 0.000 0.500 0.121

# Zr3Co PBE optimized geometry
# Formation enthalpy at 0 K   -0.19 eV/atom
# Spin magnetization   0.0 μB per cell
# DOS(E_F)   20.8 states/eV per cell
# Uncorrected energy   -8.375 eV per atom
data_Zr3Co
_chemical_formula_sum 'Zr12 Co4'
_space_group_name_H-M_alt 'P n m a'
_space_group_IT_number 62
_space_group_name_Hall '-P 2ac 2n'
_cell_length_a 6.161
_cell_length_b 9.121
_cell_length_c 5.745
_cell_angle_alpha 90.00
_cell_angle_beta 90.00
_cell_angle_gamma 90.00
loop_
_atom_site_label
_atom_site_type_symbol
_atom_site_fract_x
_atom_site_fract_y
_atom_site_fract_z
Zr1 Zr 0.036 0.250 0.158
Zr2 Zr 0.191 0.061 0.658
Co1 Co 0.112 0.750 0.415

# Zr3Co PBE optimized geometry
# Formation enthalpy at 0 K   0.11 eV/atom
# Spin magnetization   0.0 μB per cell
# DOS(E_F)   4.4 states/eV per cell
# Uncorrected energy   -8.082 eV per atom
data_Zr3Co
_chemical_formula_sum 'Zr3 Co1'
_space_group_name_H-M_alt 'P m m 2'
_space_group_IT_number 25
_space_group_name_Hall 'P 2 -2'
_cell_length_a 3.076
_cell_length_b 3.205
_cell_length_c 8.584
_cell_angle_alpha 90.00
_cell_angle_beta 90.00
_cell_angle_gamma 90.00
loop_
_atom_site_label
_atom_site_type_symbol
_atom_site_fract_x
_atom_site_fract_y
_atom_site_fract_z
Zr1 Zr 0.000 0.000 0.000
Zr2 Zr 0.000 0.500 0.343
Zr3 Zr 0.500 0.500 0.737
Co1 Co 0.500 0.000 0.496

# Zr3Co PBE optimized geometry
# Formation enthalpy at 0 K   0.08 eV/atom
# Spin magnetization   0.0 μB per cell
# DOS(E_F)   6.7 states/eV per cell
# Uncorrected energy   -8.110 eV per atom
data_Zr3Co
_chemical_formula_sum 'Zr3 Co1'
_space_group_name_H-M_alt 'P 4/m m m'
_space_group_IT_number 123
_space_group_name_Hall '-P 4 2'
_cell_length_a 4.724
_cell_length_b 4.724
_cell_length_c 3.452
_cell_angle_alpha 90.00
_cell_angle_beta 90.00
_cell_angle_gamma 90.00
loop_
_atom_site_label
_atom_site_type_symbol
_atom_site_fract_x
_atom_site_fract_y
_atom_site_fract_z
Zr1 Zr 0.000 0.000 0.000
Zr2 Zr 0.000 0.500 0.500
Co1 Co 0.500 0.500 0.000

# ZrCo PBE optimized geometry
# Formation enthalpy at 0 K   -0.21 eV/atom
# Spin magnetization   0.0 μB per cell
# DOS(E_F)   8.4 states/eV per cell
# Uncorrected energy   -8.032 eV per atom
data_ZrCo
_chemical_formula_sum 'Zr6 Co6'
_space_group_name_H-M_alt 'I m m 2'
_space_group_IT_number 44
_space_group_name_Hall 'I 2 -2'
_cell_length_a 3.737
_cell_length_b 10.531
_cell_length_c 5.072
_cell_angle_alpha 90.00
_cell_angle_beta 90.00
_cell_angle_gamma 90.00
loop_
_atom_site_label
_atom_site_type_symbol
_atom_site_fract_x
_atom_site_fract_y
_atom_site_fract_z
Zr1 Zr 0.000 0.000 0.000
Zr2 Zr 0.000 0.287 0.269
Co1 Co 0.000 0.000 0.522
Co2 Co 0.000 0.386 0.788

# ZrCo PBE optimized geometry
# Formation enthalpy at 0 K   0.39 eV/atom
# Spin magnetization   0.0 μB per cell
# DOS(E_F)   2.2 states/eV per cell
# Uncorrected energy   -7.433 eV per atom
data_ZrCo
_chemical_formula_sum 'Zr2 Co2'
_space_group_name_H-M_alt 'P 63/m m c'
_space_group_IT_number 194
_space_group_name_Hall '-P 6c 2c'
_cell_length_a 4.3245
_cell_length_b 4.3245
_cell_length_c 5.1256
_cell_angle_alpha 90.00
_cell_angle_beta 90.00
_cell_angle_gamma 120.00
loop_
_atom_site_label
_atom_site_type_symbol
_atom_site_fract_x
_atom_site_fract_y
_atom_site_fract_z
Zr1 Zr 0.3333 0.6667 0.2500
Co1 Co 0.3333 0.6667 0.7500

# Zr3Co PBE optimized geometry
# Formation enthalpy at 0 K   0.03 eV/atom
# Spin magnetization   0.3 μB per cell
# DOS(E_F)   13.3 states/eV per cell
# Uncorrected energy   -8.157 eV per atom
data_Zr3Co
_chemical_formula_sum 'Zr6 Co2'
_space_group_name_H-M_alt 'P m -3 n'
_space_group_IT_number 223
_space_group_name_Hall '-P 4n 2 3'
_cell_length_a 5.375
_cell_length_b 5.375
_cell_length_c 5.375
_cell_angle_alpha 90.00
_cell_angle_beta 90.00
_cell_angle_gamma 90.00
loop_
_atom_site_label
_atom_site_type_symbol
_atom_site_fract_x
_atom_site_fract_y
_atom_site_fract_z
Zr1 Zr 0.000 0.250 0.500
Co1 Co 0.000 0.000 0.000

# Zr3Co PBE optimized geometry
# Formation enthalpy at 0 K   0.10 eV/atom
# Spin magnetization   6.8 μB per cell
# DOS(E_F)   20.8 states/eV per cell
# Uncorrected energy   -8.083 eV per atom
data_Zr3Co
_chemical_formula_sum 'Zr12 Co4'
_space_group_name_H-M_alt 'F m -3 m'
_space_group_IT_number 225
_space_group_name_Hall '-F 4 2 3'
_cell_length_a 6.743
_cell_length_b 6.743
_cell_length_c 6.743
_cell_angle_alpha 90.00
_cell_angle_beta 90.00
_cell_angle_gamma 90.00
loop_
_atom_site_label
_atom_site_type_symbol
_atom_site_fract_x
_atom_site_fract_y
_atom_site_fract_z
Zr1 Zr 0.000 0.000 0.000
Zr2 Zr 0.250 0.250 0.250
Co1 Co 0.000 0.000 0.500

# Zr8Co PBE optimized geometry
# Formation enthalpy at 0 K   0.11 eV/atom
# Spin magnetization   3.0 μB per cell
# DOS(E_F)   31.3 states/eV per cell
# Uncorrected energy   -8.280 eV per atom
data_Zr8Co
_chemical_formula_sum 'Zr16 Co2'
_space_group_name_H-M_alt 'I 4/m m m'
_space_group_IT_number 139
_space_group_name_Hall '-I 4 2'
_cell_length_a 9.574
_cell_length_b 9.574
_cell_length_c 4.264
_cell_angle_alpha 90.00
_cell_angle_beta 90.00
_cell_angle_gamma 90.00
loop_
_atom_site_label
_atom_site_type_symbol
_atom_site_fract_x
_atom_site_fract_y
_atom_site_fract_z
Zr1 Zr 0.000 0.331 0.000
Zr2 Zr 0.160 0.160 0.500
Co1 Co 0.000 0.000 0.000

# Zr3Co PBE optimized geometry
# Formation enthalpy at 0 K   -0.21 eV/atom
# Spin magnetization   0.0 μB per cell
# DOS(E_F)   20.6 states/eV per cell
# Uncorrected energy   -8.400 eV per atom
data_Zr3Co
_chemical_formula_sum 'Zr12 Co4'
_space_group_name_H-M_alt 'C m c m'
_space_group_IT_number 63
_space_group_name_Hall '-C 2c 2'
_cell_length_a 3.265
_cell_length_b 10.747
_cell_length_c 9.062
_cell_angle_alpha 90.00
_cell_angle_beta 90.00
_cell_angle_gamma 90.00
loop_
_atom_site_label
_atom_site_type_symbol
_atom_site_fract_x
_atom_site_fract_y
_atom_site_fract_z
Zr1 Zr 0.000 0.083 0.250
Zr2 Zr 0.000 0.365 0.055
Co1 Co 0.000 0.224 0.750

# ZrCo13 PBE optimized geometry
# Formation enthalpy at 0 K   0.02 eV/atom
# Spin magnetization   159.3 μB per cell
# DOS(E_F)   140.3 states/eV per cell
# Uncorrected energy   -7.184 eV per atom
data_ZrCo13
_chemical_formula_sum 'Zr8 Co104'
_space_group_name_H-M_alt 'F m -3 c'
_space_group_IT_number 226
_space_group_name_Hall '-F 4a 2 3'
_cell_length_a 11.096
_cell_length_b 11.096
_cell_length_c 11.096
_cell_angle_alpha 90.00
_cell_angle_beta 90.00
_cell_angle_gamma 90.00
loop_
_atom_site_label
_atom_site_type_symbol
_atom_site_fract_x
_atom_site_fract_y
_atom_site_fract_z
Zr1 Zr 0.250 0.250 0.250
Co1 Co 0.000 0.000 0.000
Co2 Co 0.000 0.120 0.178

# ZrCo6 PBE optimized geometry
# Formation enthalpy at 0 K   -0.12 eV/atom
# Spin magnetization   32.9 μB per cell
# Energy above the lowest structure with this stoichiometry   0.000 eV per atom
# DOS(E_F)   34.9 states/eV per cell
# Uncorrected energy   -7.431 eV per atom
data_ZrCo6
_chemical_formula_sum 'Zr4 Co24'
_space_group_name_H-M_alt 'P n m a'
_space_group_IT_number 62
_space_group_name_Hall '-P 2ac 2n'
_cell_length_a 7.711
_cell_length_b 4.700
_cell_length_c 9.670
_cell_angle_alpha 90.00
_cell_angle_beta 90.00
_cell_angle_gamma 90.00
loop_
_atom_site_label
_atom_site_type_symbol
_atom_site_fract_x
_atom_site_fract_y
_atom_site_fract_z
Zr1 Zr 0.243 0.250 0.060
Co1 Co 0.059 0.750 0.085
Co2 Co 0.070 0.010 0.308
Co3 Co 0.096 0.250 0.522
Co4 Co 0.138 0.750 0.851
Co5 Co 0.184 0.250 0.756

# ZrCo PBE optimized geometry
# Formation enthalpy at 0 K   0.18 eV/atom
# Spin magnetization   0.0 μB per cell
# DOS(E_F)   4.0 states/eV per cell
# Uncorrected energy   -7.651 eV per atom
data_ZrCo
_chemical_formula_sum 'Zr2 Co2'
_space_group_name_H-M_alt 'P -3 m 1'
_space_group_IT_number 164
_space_group_name_Hall '-P 3 2"'
_cell_length_a 3.3683
_cell_length_b 3.3683
_cell_length_c 7.4466
_cell_angle_alpha 90.00
_cell_angle_beta 90.00
_cell_angle_gamma 120.00
loop_
_atom_site_label
_atom_site_type_symbol
_atom_site_fract_x
_atom_site_fract_y
_atom_site_fract_z
Zr1 Zr 0.3333 0.6667 0.3058
Co1 Co 0.3333 0.6667 0.9079

# ZrCo PBE optimized geometry
# Formation enthalpy at 0 K   -0.01 eV/atom
# Spin magnetization   0.0 μB per cell
# DOS(E_F)   3.2 states/eV per cell
# Uncorrected energy   -7.833 eV per atom
data_ZrCo
_chemical_formula_sum 'Zr3 Co3'
_space_group_name_H-M_alt 'R -3 m'
_space_group_IT_number 166
_space_group_name_Hall '-R 3 2"'
_cell_length_a 3.4883
_cell_length_b 3.4883
_cell_length_c 9.7970
_cell_angle_alpha 90.00
_cell_angle_beta 90.00
_cell_angle_gamma 120.00
loop_
_atom_site_label
_atom_site_type_symbol
_atom_site_fract_x
_atom_site_fract_y
_atom_site_fract_z
Zr1 Zr 0.0000 0.0000 0.0000
Co1 Co 0.0000 0.0000 0.5000

# Zr3Co5 PBE optimized geometry
# Formation enthalpy at 0 K   -0.02 eV/atom
# Spin magnetization   6.6 μB per cell
# DOS(E_F)   35.3 states/eV per cell
# Uncorrected energy   -7.669 eV per atom
data_Zr3Co5
_chemical_formula_sum 'Zr12 Co20'
_space_group_name_H-M_alt 'C m c m'
_space_group_IT_number 63
_space_group_name_Hall '-C 2c 2'
_cell_length_a 11.865
_cell_length_b 8.885
_cell_length_c 4.614
_cell_angle_alpha 90.00
_cell_angle_beta 90.00
_cell_angle_gamma 90.00
loop_
_atom_site_label
_atom_site_type_symbol
_atom_site_fract_x
_atom_site_fract_y
_atom_site_fract_z
Zr1 Zr 0.000 0.138 0.250
Zr2 Zr 0.173 0.269 0.750
Co1 Co 0.000 0.396 0.750
Co2 Co 0.128 0.407 0.250
Co3 Co 0.192 0.000 0.000

# ZrCo PBE optimized geometry
# Formation enthalpy at 0 K   -0.11 eV/atom
# Spin magnetization   0.0 μB per cell
# DOS(E_F)   6.4 states/eV per cell
# Uncorrected energy   -7.941 eV per atom
data_ZrCo
_chemical_formula_sum 'Zr4 Co4'
_space_group_name_H-M_alt 'I m m a'
_space_group_IT_number 74
_space_group_name_Hall '-I 2b 2'
_cell_length_a 3.445
_cell_length_b 4.007
_cell_length_c 9.461
_cell_angle_alpha 90.00
_cell_angle_beta 90.00
_cell_angle_gamma 90.00
loop_
_atom_site_label
_atom_site_type_symbol
_atom_site_fract_x
_atom_site_fract_y
_atom_site_fract_z
Zr1 Zr 0.000 0.250 0.121
Co1 Co 0.000 0.250 0.614

# ZrCo5 PBE optimized geometry
# Formation enthalpy at 0 K   -0.04 eV/atom
# Spin magnetization   12.0 μB per cell
# DOS(E_F)   13.6 states/eV per cell
# Uncorrected energy   -7.387 eV per atom
data_ZrCo5
_chemical_formula_sum 'Zr2 Co10'
_space_group_name_H-M_alt 'C 1 2/m 1'
_space_group_IT_number 12
_space_group_name_Hall '-C 2y'
_cell_length_a 8.210
_cell_length_b 3.680
_cell_length_c 5.235
_cell_angle_alpha 90.00
_cell_angle_beta 107.87
_cell_angle_gamma 90.00
loop_
_atom_site_label
_atom_site_type_symbol
_atom_site_fract_x
_atom_site_fract_y
_atom_site_fract_z
Zr1 Zr 0.000 0.000 0.000
Co1 Co 0.000 0.000 0.500
Co2 Co 0.162 0.500 0.803
Co3 Co 0.185 0.500 0.356